This record from the Alexandria database describes crystalline YPdI2N at its relaxed geometry. The functional is PBE-GGA.

Output
* theoretical density: 4.83 g/cm3
* E_form (uncorrected): 0.199 eV/atom
* crystal system: tetragonal
* total magnetic moment: 2.0 μB per formula unit
* relative energy among the computed polymorphs: 0.00 eV per formula unit

Geometry as POSCAR:
```
YPdI2N
1.0
-0.923 3.287 -5.032
0.486 -5.034 -3.377
-4.242 -0.648 0.355
I Y Pd N
2 1 1 1
direct
0.000 0.500 0.000
0.500 0.000 0.000
0.000 0.000 0.000
0.500 0.500 0.500
0.000 0.000 0.500
```